Entry 1:
Density functional theory data (PBE-GGA) for a geometry-optimized KTl3Cr structure.

Lattice parameters (Å, degrees): 5.8776 5.8776 5.8776 90.00 90.00 90.00
Last column: nearest neighbours and their distance in Å.
Element x y z (fractional)
Cr (0.5000, 0.5000, 0.5000)  12 Tl 4.16
Tl (0.5000, 0.0000, 0.0000)  2 K 2.94
Tl (0.0000, 0.5000, 0.0000)  2 K 2.94
Tl (0.0000, 0.0000, 0.5000)  2 K 2.94
K (0.0000, 0.0000, 0.0000)  6 Tl 2.94

Computed properties:
energy relative to the elements	8.6	eV/f.u.
space-group type	No. 221
E above lowest polymorph	1482	meV/atom
DOS at the Fermi energy	10.45	states/eV/f.u.

Entry 2:
Density functional theory data (PBE-GGA) for a geometry-optimized KTl2Cr structure.

Lattice parameters (Å, degrees): 5.2963 5.2952 4.0870 90.00 90.00 90.00
Last column: nearest neighbours and their distance in Å.
Element x y z (fractional)
Tl (0.5000, 0.5000, 0.0000)  4 Cr 3.34, 4 K 3.34, 4 Tl 3.74
Tl (0.0000, 0.0000, 0.0000)  4 K 3.34, 4 Cr 3.34, 4 Tl 3.74
Cr (0.5000, 0.0000, 0.5000)  8 Tl 3.34, 4 K 3.74
K (0.0000, 0.5000, 0.5000)  8 Tl 3.34, 4 Cr 3.74

Computed properties:
energy relative to the elements	2.0	eV/f.u.
space-group type	No. 123
E above lowest polymorph	223	meV/atom
DOS at the Fermi energy	2.79	states/eV/f.u.

Entry 3:
Density functional theory data (PBE-GGA) for a geometry-optimized KTlCr2 structure.

Lattice parameters (Å, degrees): 6.3839 6.3839 6.3839 151.02 126.85 61.68
Last column: nearest neighbours and their distance in Å.
Element x y z (fractional)
Tl (0.2129, 0.7129, 0.5000)  6 Cr 3.06-3.42, 2 Tl 3.19
Cr (0.9745, 0.9745, 0.0000)  2 Cr 2.45
Cr (0.8045, 0.3045, 0.5000)  2 Cr 2.45
K (0.5082, 0.5082, 0.0000)  2 K 3.19, 4 Cr 3.29

Computed properties:
energy relative to the elements	3.2	eV/f.u.
space-group type	No. 44
E above lowest polymorph	279	meV/atom
DOS at the Fermi energy	2.30	states/eV/f.u.